The following is a DFT calculation (PBE+U) of crystalline TlWN2O at its relaxed geometry.

Lattice parameters (Å, degrees): 4.301 4.301 4.076 90.00 90.00 90.00
Sites, in units of the cell vectors:
Tl (0.000, 0.000, 0.000)
O (0.000, 0.000, 0.500)
W (0.500, 0.500, 0.500)
N (0.000, 0.500, 0.000)
N (0.500, 0.000, 0.000)

Output
DFT total energy   -21.843 eV per cell
Calculated density   9.5 g cm⁻³